A geometry-optimized Ba2Cu3O6 structure. Source: the Alexandria database, functional PBE-GGA.

space-group type: P2/m
total magnetic moment: 0.2 Bohr magnetons per cell
ρ: 5.2 g/cm³
formation energy without anion corrections: -1.408 eV/atom
offset from the most stable computed form: 0 kJ/mol of formula units

a b c (Å): 8.3178 7.5642 11.7430
angles (deg): 90.00 102.84 90.00
Fractional coordinates of all 44 atoms:
Ba: 0.0126 0.0000 0.2498
Ba: 0.1530 0.5000 0.2526
Ba: 0.2926 0.5000 0.7508
Ba: 0.4571 0.0000 0.2499
Ba: 0.5429 0.0000 0.7501
Ba: 0.7074 0.5000 0.2492
Ba: 0.8470 0.5000 0.7474
Ba: 0.9874 0.0000 0.7502
Cu: 0.0000 0.2499 0.0000
Cu: 0.0000 0.7501 0.0000
Cu: 0.1661 0.2521 0.5012
Cu: 0.1661 0.7479 0.5012
Cu: 0.3322 0.2503 0.0003
Cu: 0.3322 0.7497 0.0003
Cu: 0.5000 0.2452 0.5000
Cu: 0.5000 0.7548 0.5000
Cu: 0.6678 0.2503 0.9997
Cu: 0.6678 0.7497 0.9997
Cu: 0.8339 0.2521 0.4988
Cu: 0.8339 0.7479 0.4988
O: 0.0336 0.2700 0.6119
O: 0.0336 0.7300 0.6119
O: 0.1313 0.2628 0.8884
O: 0.1313 0.7372 0.8884
O: 0.2011 0.2357 0.1120
O: 0.2011 0.7643 0.1120
O: 0.2968 0.2340 0.3891
O: 0.2968 0.7660 0.3891
O: 0.3678 0.2461 0.6098
O: 0.3678 0.7539 0.6098
O: 0.4656 0.2514 0.8912
O: 0.4656 0.7486 0.8912
O: 0.5344 0.2514 0.1088
O: 0.5344 0.7486 0.1088
O: 0.6322 0.2461 0.3902
O: 0.6322 0.7539 0.3902
O: 0.7032 0.2340 0.6109
O: 0.7032 0.7660 0.6109
O: 0.7989 0.2357 0.8880
O: 0.7989 0.7643 0.8880
O: 0.8687 0.2628 0.1116
O: 0.8687 0.7372 0.1116
O: 0.9664 0.2700 0.3881
O: 0.9664 0.7300 0.3881

A geometry-optimized BaCu2O4 structure. Source: the Alexandria database, functional PBE-GGA.

space-group type: I-42d
total magnetic moment: 0.0 Bohr magnetons per cell
ρ: 5.0 g/cm³
formation energy without anion corrections: -0.950 eV/atom

a b c (Å): 6.6649 6.6649 6.6649
angles (deg): 102.83 102.83 123.78
Fractional coordinates of all 14 atoms:
Ba: 0.0000 0.0000 0.0000
Ba: 0.7500 0.2500 0.5000
Cu: 0.3116 0.6250 0.1866
Cu: 0.3750 0.5616 0.6866
Cu: 0.4384 0.1250 0.8134
Cu: 0.8750 0.6884 0.3134
O: 0.0745 0.8603 0.6226
O: 0.1397 0.7622 0.2142
O: 0.2019 0.4878 0.8774
O: 0.2378 0.4519 0.3774
O: 0.5122 0.3897 0.7142
O: 0.5481 0.9255 0.7858
O: 0.6103 0.3245 0.1226
O: 0.6755 0.7981 0.2858

A geometry-optimized BaCu2O2 structure. Source: the Alexandria database, functional PBE-GGA.

space-group type: I4_1/amd
total magnetic moment: 0.0 Bohr magnetons per cell
ρ: 5.8 g/cm³
formation energy without anion corrections: -1.335 eV/atom

a b c (Å): 6.5177 6.5177 6.5177
angles (deg): 127.11 127.11 78.08
Fractional coordinates of all 10 atoms:
Ba: 0.3750 0.6250 0.7500
Ba: 0.6250 0.3750 0.2500
Cu: 0.0000 0.0000 0.0000
Cu: 0.0000 0.0000 0.5000
Cu: 0.0000 0.5000 0.0000
Cu: 0.5000 0.0000 0.5000
O: 0.1128 0.3628 0.7500
O: 0.3628 0.1128 0.2500
O: 0.6372 0.8872 0.7500
O: 0.8872 0.6372 0.2500

A geometry-optimized BaCu6O4 structure. Source: the Alexandria database, functional PBE-GGA.

space-group type: I-42m
total magnetic moment: 0.0 Bohr magnetons per cell
ρ: 5.9 g/cm³
formation energy without anion corrections: -0.425 eV/atom

a b c (Å): 5.9866 5.9866 5.9866
angles (deg): 107.02 107.02 114.49
Fractional coordinates of all 11 atoms:
Ba: 0.0000 0.0000 0.0000
Cu: 0.0000 0.5000 0.5000
Cu: 0.2109 0.2109 0.5746
Cu: 0.3637 0.7891 0.0000
Cu: 0.5000 0.0000 0.5000
Cu: 0.6363 0.6363 0.4254
Cu: 0.7891 0.3637 0.0000
O: 0.1268 0.4777 0.0000
O: 0.4777 0.1268 0.0000
O: 0.5223 0.5223 0.6491
O: 0.8732 0.8732 0.3509

A geometry-optimized Ba4Cu2O structure. Source: the Alexandria database, functional PBE-GGA.

space-group type: I4/mmm
total magnetic moment: 0.0 Bohr magnetons per cell
ρ: 4.8 g/cm³
formation energy without anion corrections: -0.617 eV/atom

a b c (Å): 9.1493 9.1493 9.1493
angles (deg): 145.89 145.89 49.02
Fractional coordinates of all 7 atoms:
Ba: 0.0000 0.5000 0.5000
Ba: 0.1789 0.1789 0.0000
Ba: 0.5000 0.0000 0.5000
Ba: 0.8211 0.8211 0.0000
Cu: 0.3734 0.3734 0.0000
Cu: 0.6266 0.6266 0.0000
O: 0.0000 0.0000 0.0000

A geometry-optimized Ba2Cu3O6 structure. Source: the Alexandria database, functional PBE-GGA.

space-group type: Fmmm
total magnetic moment: 2.0 Bohr magnetons per cell
ρ: 5.3 g/cm³
formation energy without anion corrections: -1.343 eV/atom
offset from the most stable computed form: 70 kJ/mol of formula units

a b c (Å): 9.3079 8.4905 7.0391
angles (deg): 72.97 60.72 46.31
Fractional coordinates of all 22 atoms:
Ba: 0.2337 0.7663 0.2337
Ba: 0.2500 0.2500 0.2500
Ba: 0.7500 0.7500 0.7500
Ba: 0.7663 0.2337 0.7663
Cu: 0.0042 0.7009 0.9958
Cu: 0.2991 0.9958 0.7009
Cu: 0.3070 0.6930 0.6930
Cu: 0.6930 0.3070 0.3070
Cu: 0.7009 0.0042 0.2991
Cu: 0.9958 0.2991 0.0042
O: 0.0665 0.2989 0.7011
O: 0.0797 0.7389 0.6934
O: 0.2611 0.9203 0.5120
O: 0.2989 0.0665 0.9335
O: 0.3066 0.5120 0.9203
O: 0.4880 0.6934 0.7389
O: 0.5120 0.3066 0.2611
O: 0.6934 0.4880 0.0797
O: 0.7011 0.9335 0.0665
O: 0.7389 0.0797 0.4880
O: 0.9203 0.2611 0.3066
O: 0.9335 0.7011 0.2989

A geometry-optimized BaCuO2 structure. Source: the Alexandria database, functional PBE-GGA.

space-group type: Pbcm
total magnetic moment: 2.6 Bohr magnetons per cell
ρ: 5.9 g/cm³
formation energy without anion corrections: -1.536 eV/atom

a b c (Å): 3.7032 11.9266 5.9421
angles (deg): 90.00 90.00 90.00
Fractional coordinates of all 16 atoms:
Ba: 0.0060 0.1383 0.2500
Ba: 0.0060 0.3617 0.7500
Ba: 0.9940 0.6383 0.2500
Ba: 0.9940 0.8617 0.7500
Cu: 0.4927 0.6325 0.7500
Cu: 0.4927 0.8675 0.2500
Cu: 0.5073 0.1325 0.7500
Cu: 0.5073 0.3675 0.2500
O: 0.0072 0.0869 0.7500
O: 0.0072 0.4131 0.2500
O: 0.4935 0.7500 0.0000
O: 0.4935 0.7500 0.5000
O: 0.5065 0.2500 0.0000
O: 0.5065 0.2500 0.5000
O: 0.9928 0.5869 0.7500
O: 0.9928 0.9131 0.2500

A geometry-optimized Ba3Cu5O12 structure. Source: the Alexandria database, functional PBE-GGA.

space-group type: Ia-3d
total magnetic moment: 20.4 Bohr magnetons per cell
ρ: 5.5 g/cm³
formation energy without anion corrections: -0.901 eV/atom

a b c (Å): 11.3301 11.3301 11.3301
angles (deg): 109.47 109.47 109.47
Fractional coordinates of all 80 atoms:
Ba: 0.1250 0.2500 0.3750
Ba: 0.1250 0.3750 0.7500
Ba: 0.2500 0.3750 0.1250
Ba: 0.2500 0.8750 0.6250
Ba: 0.3750 0.1250 0.2500
Ba: 0.3750 0.7500 0.1250
Ba: 0.6250 0.2500 0.8750
Ba: 0.6250 0.8750 0.7500
Ba: 0.7500 0.1250 0.3750
Ba: 0.7500 0.6250 0.8750
Ba: 0.8750 0.6250 0.2500
Ba: 0.8750 0.7500 0.6250
Cu: 0.0000 0.0000 0.0000
Cu: 0.0000 0.0000 0.5000
Cu: 0.0000 0.5000 0.0000
Cu: 0.0000 0.5000 0.5000
Cu: 0.1250 0.7500 0.8750
Cu: 0.1250 0.8750 0.2500
Cu: 0.2500 0.1250 0.8750
Cu: 0.2500 0.6250 0.3750
Cu: 0.3750 0.2500 0.6250
Cu: 0.3750 0.6250 0.7500
Cu: 0.5000 0.0000 0.0000
Cu: 0.5000 0.0000 0.5000
Cu: 0.5000 0.5000 0.0000
Cu: 0.5000 0.5000 0.5000
Cu: 0.6250 0.3750 0.2500
Cu: 0.6250 0.7500 0.3750
Cu: 0.7500 0.3750 0.6250
Cu: 0.7500 0.8750 0.1250
Cu: 0.8750 0.1250 0.7500
Cu: 0.8750 0.2500 0.1250
O: 0.0019 0.1818 0.1038
O: 0.0019 0.3201 0.8981
O: 0.0780 0.6818 0.6799
O: 0.0780 0.8962 0.3981
O: 0.1019 0.6038 0.4220
O: 0.1019 0.9981 0.6799
O: 0.1038 0.0019 0.1818
O: 0.1038 0.6019 0.9220
O: 0.1799 0.1818 0.5780
O: 0.1799 0.4981 0.6019
O: 0.1818 0.1038 0.0019
O: 0.1818 0.5780 0.1799
O: 0.3182 0.3201 0.9220
O: 0.3182 0.4981 0.3962
O: 0.3201 0.8981 0.0019
O: 0.3201 0.9220 0.3182
O: 0.3962 0.3182 0.4981
O: 0.3962 0.5780 0.8981
O: 0.3981 0.0780 0.8962
O: 0.3981 0.8201 0.5019
O: 0.4220 0.1019 0.6038
O: 0.4220 0.8201 0.8182
O: 0.4981 0.3962 0.3182
O: 0.4981 0.6019 0.1799
O: 0.5019 0.3981 0.8201
O: 0.5019 0.6038 0.6818
O: 0.5780 0.1799 0.1818
O: 0.5780 0.8981 0.3962
O: 0.6019 0.1799 0.4981
O: 0.6019 0.9220 0.1038
O: 0.6038 0.4220 0.1019
O: 0.6038 0.6818 0.5019
O: 0.6799 0.0780 0.6818
O: 0.6799 0.1019 0.9981
O: 0.6818 0.5019 0.6038
O: 0.6818 0.6799 0.0780
O: 0.8182 0.4220 0.8201
O: 0.8182 0.8962 0.9981
O: 0.8201 0.5019 0.3981
O: 0.8201 0.8182 0.4220
O: 0.8962 0.3981 0.0780
O: 0.8962 0.9981 0.8182
O: 0.8981 0.0019 0.3201
O: 0.8981 0.3962 0.5780
O: 0.9220 0.1038 0.6019
O: 0.9220 0.3182 0.3201
O: 0.9981 0.6799 0.1019
O: 0.9981 0.8182 0.8962

A geometry-optimized BaCu3O structure. Source: the Alexandria database, functional PBE-GGA.

space-group type: Pm-3m
total magnetic moment: 0.0 Bohr magnetons per cell
ρ: 6.4 g/cm³
formation energy without anion corrections: 0.156 eV/atom
offset from the most stable computed form: 0 kJ/mol of formula units

a b c (Å): 4.4596 4.4596 4.4596
angles (deg): 90.00 90.00 90.00
Fractional coordinates of all 5 atoms:
Ba: 0.0000 0.0000 0.0000
Cu: 0.0000 0.5000 0.5000
Cu: 0.5000 0.0000 0.5000
Cu: 0.5000 0.5000 0.0000
O: 0.5000 0.5000 0.5000

A geometry-optimized BaCu3O structure. Source: the Alexandria database, functional PBE-GGA.

space-group type: Pm-3m
total magnetic moment: 0.0 Bohr magnetons per cell
ρ: 3.2 g/cm³
formation energy without anion corrections: 1.897 eV/atom
offset from the most stable computed form: 840 kJ/mol of formula units

a b c (Å): 5.6278 5.6278 5.6278
angles (deg): 90.00 90.00 90.00
Fractional coordinates of all 5 atoms:
Ba: 0.0000 0.0000 0.0000
Cu: 0.0000 0.0000 0.5000
Cu: 0.0000 0.5000 0.0000
Cu: 0.5000 0.0000 0.0000
O: 0.5000 0.5000 0.5000

A geometry-optimized BaCuO2 structure. Source: the Alexandria database, functional PBE-GGA.

space-group type: P-1
total magnetic moment: 2.0 Bohr magnetons per cell
ρ: 4.6 g/cm³
formation energy without anion corrections: -1.365 eV/atom

a b c (Å): 4.5394 6.0925 6.0925
angles (deg): 90.00 89.86 89.97
Fractional coordinates of all 8 atoms:
Ba: 0.0000 0.0000 0.0000
Ba: 0.5000 0.5000 0.5000
Cu: 0.2499 0.0004 0.4982
Cu: 0.7501 0.9996 0.5018
O: 0.9998 0.2424 0.6238
O: 0.0002 0.7576 0.3762
O: 0.4991 0.8759 0.7430
O: 0.5009 0.1241 0.2570

A geometry-optimized BaCuO2 structure. Source: the Alexandria database, functional PBE-GGA.

space-group type: P4/mmm
total magnetic moment: 0.0 Bohr magnetons per cell
ρ: 6.2 g/cm³
formation energy without anion corrections: -1.567 eV/atom

a b c (Å): 4.0248 4.0248 3.8773
angles (deg): 90.00 90.00 90.00
Fractional coordinates of all 4 atoms:
Ba: 0.0000 0.0000 0.0000
Cu: 0.5000 0.5000 0.5000
O: 0.0000 0.5000 0.5000
O: 0.5000 0.0000 0.5000